1.
DFT (PBE) results for an optimized crystal structure of SmHo2Tm.

Cell lengths 5.0126, 5.0021, 5.0021 Å; angles 90.00, 90.00, 90.00 degrees
Positions (direct):
Ho 0.0000 0.0000 0.5000
Ho 0.0000 0.5000 0.0000
Tm 0.5000 0.5000 0.5000
Sm 0.5000 0.0000 0.0000

Output
- crystal system = tetragonal
- ΔE_f (eV per formula unit) = 0.09
- mass density (g/cm3) = 8.59
- total magnetization (μB/cell) = 0.00
- total DFT energy (no corrections) (Ry/atom) = -0.3354



2.
DFT (PBE) results for an optimized crystal structure of SmHo3Tm5.

Cell lengths 9.2078, 9.2078, 12.7356 Å; angles 51.31, 51.31, 50.64 degrees
Positions (direct):
Tm 0.4902 0.0776 0.7811
Tm 0.5569 0.5569 0.5645
Tm 0.4431 0.4431 0.4355
Tm 0.9224 0.5098 0.2189
Tm 0.0776 0.4902 0.7811
Tm 0.5098 0.9224 0.2189
Tm 0.3218 0.6782 0.0000
Tm 0.6287 0.6287 0.0731
Tm 0.6782 0.3218 0.0000
Tm 0.3713 0.3713 0.9269
Ho 0.8327 0.8327 0.3398
Ho 0.1673 0.1673 0.6602
Ho 0.3064 0.3064 0.3148
Ho 0.0000 0.0000 0.5000
Ho 0.0000 0.0000 0.0000
Ho 0.6936 0.6936 0.6852
Sm 0.1069 0.1069 0.1288
Sm 0.8931 0.8931 0.8712

Output
- crystal system = monoclinic
- ΔE_f (eV per formula unit) = 3.86
- mass density (g/cm3) = 8.20
- total magnetization (μB/cell) = 0.00
- total DFT energy (no corrections) (Ry/atom) = -0.3017



3.
DFT (PBE) results for an optimized crystal structure of Sm2Ho2Tm5.

Cell lengths 11.6208, 6.6865, 9.9954 Å; angles 109.54, 125.54, 90.00 degrees
Positions (direct):
Tm 0.3803 0.0316 0.2850
Tm 0.4047 0.5316 0.2850
Tm 0.2056 0.6561 0.8930
Tm 0.7944 0.7632 0.1070
Tm 0.8127 0.2632 0.1070
Tm 0.6197 0.7466 0.7150
Tm 0.9960 0.6578 0.5000
Tm 0.0040 0.1578 0.5000
Tm 0.1873 0.1561 0.8930
Tm 0.5953 0.2466 0.7150
Sm 0.1203 0.6855 0.2551
Sm 0.6348 0.1855 0.2551
Sm 0.8797 0.4304 0.7449
Sm 0.3652 0.9304 0.7449
Ho 0.7354 0.8615 0.5000
Ho 0.2646 0.3615 0.5000
Ho 0.0000 0.0033 0.0000
Ho 0.5000 0.5033 0.0000

Output
- crystal system = orthorhombic
- ΔE_f (eV per formula unit) = 1.99
- mass density (g/cm3) = 8.50
- total magnetization (μB/cell) = 0.00
- total DFT energy (no corrections) (Ry/atom) = -0.3182



4.
DFT (PBE) results for an optimized crystal structure of Sm2Ho3Tm7.

Cell lengths 3.4840, 6.2622, 17.6954 Å; angles 75.68, 90.00, 90.00 degrees
Positions (direct):
Tm 0.5000 0.2436 0.5010
Tm 0.0000 0.4381 0.8367
Tm 0.0000 0.5619 0.1633
Tm 0.5000 0.9396 0.8338
Tm 0.5000 0.0604 0.1662
Tm 0.0000 0.0000 0.0000
Tm 0.5000 0.7564 0.4990
Ho 0.0000 0.1075 0.3428
Ho 0.0000 0.8925 0.6572
Ho 0.5000 0.5000 0.0000
Sm 0.5000 0.3870 0.6743
Sm 0.5000 0.6130 0.3257

Output
- crystal system = monoclinic
- ΔE_f (eV per formula unit) = 1.02
- mass density (g/cm3) = 8.78
- total magnetization (μB/cell) = 0.00
- total DFT energy (no corrections) (Ry/atom) = -0.3274



5.
DFT (PBE) results for an optimized crystal structure of Sm3Ho3Tm2.

Cell lengths 5.6756, 5.9684, 8.6739 Å; angles 111.08, 109.10, 90.00 degrees
Positions (direct):
Sm 0.6346 0.0724 0.2692
Sm 0.3654 0.9276 0.7308
Sm 0.5000 0.5000 0.0000
Ho 0.1331 0.6864 0.2662
Ho 0.0000 0.0000 0.0000
Ho 0.8669 0.3136 0.7338
Tm 0.7498 0.6819 0.4995
Tm 0.2502 0.3181 0.5005

Output
- crystal system = monoclinic
- ΔE_f (eV per formula unit) = 0.71
- mass density (g/cm3) = 8.30
- total magnetization (μB/cell) = 0.00
- total DFT energy (no corrections) (Ry/atom) = -0.3319



6.
DFT (PBE) results for an optimized crystal structure of SmHo2Tm.

Cell lengths 3.5375, 3.5375, 10.0306 Å; angles 90.00, 90.00, 90.00 degrees
Positions (direct):
Tm 0.5000 0.5000 0.0000
Sm 0.5000 0.5000 0.5000
Ho 0.0000 0.0000 0.2454
Ho 0.0000 0.0000 0.7546

Output
- crystal system = tetragonal
- ΔE_f (eV per formula unit) = 0.09
- mass density (g/cm3) = 8.59
- total magnetization (μB/cell) = 0.00
- total DFT energy (no corrections) (Ry/atom) = -0.3354



7.
DFT (PBE) results for an optimized crystal structure of Sm7Ho3Tm.

Cell lengths 5.5970, 9.9844, 8.9936 Å; angles 106.15, 128.49, 89.99 degrees
Positions (direct):
Tm 0.5000 0.5000 0.5000
Ho 0.2797 0.0002 0.7797
Ho 0.7203 0.9998 0.2203
Ho 0.0000 0.5000 0.0000
Sm 0.1467 0.2921 0.6466
Sm 0.8533 0.7079 0.3534
Sm 0.6820 0.3605 0.1819
Sm 0.0860 0.1711 0.0859
Sm 0.9140 0.8289 0.9141
Sm 0.3180 0.6395 0.8181
Sm 0.5000 0.0000 0.5000

Output
- crystal system = monoclinic
- ΔE_f (eV per formula unit) = 1.38
- mass density (g/cm3) = 7.75
- total magnetization (μB/cell) = 0.00
- total DFT energy (no corrections) (Ry/atom) = -0.3332



8.
DFT (PBE) results for an optimized crystal structure of SmHo2Tm12.

Cell lengths 6.5689, 6.5689, 24.2704 Å; angles 83.59, 96.41, 65.06 degrees
Positions (direct):
Sm 0.9983 0.5017 0.0000
Sm 0.5017 0.9983 0.0000
Tm 0.8902 0.1093 0.1933
Tm 0.1500 0.3500 0.8607
Tm 0.1093 0.8902 0.8067
Tm 0.0517 0.9518 0.0677
Tm 0.0042 0.9959 0.3303
Tm 0.8489 0.6511 0.1374
Tm 0.9518 0.0517 0.9323
Tm 0.8210 0.6790 0.4223
Tm 0.1803 0.3197 0.5778
Tm 0.6098 0.3907 0.8067
Tm 0.9959 0.0042 0.6697
Tm 0.6646 0.3367 0.5550
Tm 0.8354 0.1633 0.4450
Tm 0.6511 0.8489 0.8626
Tm 0.3907 0.6098 0.1933
Tm 0.4483 0.5482 0.9323
Tm 0.5482 0.4483 0.0677
Tm 0.3500 0.1500 0.1393
Tm 0.6790 0.8210 0.5777
Tm 0.4958 0.5041 0.6697
Tm 0.3197 0.1803 0.4222
Tm 0.3367 0.6646 0.4450
Tm 0.1633 0.8354 0.5550
Tm 0.5041 0.4958 0.3303
Ho 0.5313 0.9687 0.7179
Ho 0.9687 0.5313 0.2821
Ho 0.4698 0.0302 0.2835
Ho 0.0302 0.4698 0.7165

Output
- crystal system = monoclinic
- ΔE_f (eV per formula unit) = 1.73
- mass density (g/cm3) = 8.96
- total magnetization (μB/cell) = 0.02
- total DFT energy (no corrections) (Ry/atom) = -0.3224



9.
DFT (PBE) results for an optimized crystal structure of Sm4HoTm.

Cell lengths 3.5871, 9.4848, 11.9098 Å; angles 148.72, 90.20, 100.80 degrees
Positions (direct):
Ho 0.0000 0.0000 0.0000
Tm 0.4999 0.9999 0.5000
Sm 0.1659 0.3329 0.5005
Sm 0.8340 0.6671 0.4995
Sm 0.3327 0.6643 0.9979
Sm 0.6674 0.3357 0.0020

Output
- crystal system = triclinic
- ΔE_f (eV per formula unit) = 0.10
- mass density (g/cm3) = 7.93
- total magnetization (μB/cell) = 0.00
- total DFT energy (no corrections) (Ry/atom) = -0.3408



10.
DFT (PBE) results for an optimized crystal structure of Sm2Ho5Tm5.

Cell lengths 4.9871, 7.8782, 11.1399 Å; angles 115.07, 90.00, 108.45 degrees
Positions (direct):
Ho 0.0000 0.0000 0.0000
Ho 0.7516 0.5031 0.7513
Ho 0.1667 0.3335 0.4997
Ho 0.2484 0.4969 0.2487
Ho 0.8333 0.6665 0.5003
Tm 0.5000 0.0000 0.5000
Tm 0.3332 0.6664 0.9994
Tm 0.4160 0.8319 0.7500
Tm 0.6668 0.3336 0.0006
Tm 0.5840 0.1681 0.2500
Sm 0.0829 0.1658 0.7498
Sm 0.9171 0.8342 0.2502

Output
- crystal system = monoclinic
- ΔE_f (eV per formula unit) = 0.26
- mass density (g/cm3) = 8.81
- total magnetization (μB/cell) = 0.00
- total DFT energy (no corrections) (Ry/atom) = -0.3333



11.
DFT (PBE) results for an optimized crystal structure of Sm12HoTm7.

Cell lengths 8.7493, 8.7493, 8.7493 Å; angles 94.37, 94.37, 94.37 degrees
Positions (direct):
Sm 0.8556 0.5911 0.5273
Sm 0.4727 0.1444 0.4089
Sm 0.1444 0.4089 0.4727
Sm 0.3195 0.1864 0.7511
Sm 0.6805 0.8136 0.2489
Sm 0.2489 0.6805 0.8136
Sm 0.8136 0.2489 0.6805
Sm 0.7511 0.3195 0.1864
Sm 0.5911 0.5273 0.8556
Sm 0.4089 0.4727 0.1444
Sm 0.1864 0.7511 0.3195
Sm 0.5273 0.8556 0.5911
Tm 0.3453 0.0137 0.0787
Tm 0.9863 0.9213 0.6547
Tm 0.9213 0.6547 0.9863
Tm 0.0787 0.3453 0.0137
Tm 0.0137 0.0787 0.3453
Tm 0.5000 0.5000 0.5000
Tm 0.6547 0.9863 0.9213
Ho 0.0000 0.0000 0.0000

Output
- crystal system = trigonal
- ΔE_f (eV per formula unit) = 5.77
- mass density (g/cm3) = 7.89
- total magnetization (μB/cell) = 0.00
- total DFT energy (no corrections) (Ry/atom) = -0.3188



12.
DFT (PBE) results for an optimized crystal structure of SmHoTm4.

Cell lengths 6.4262, 8.8212, 8.4475 Å; angles 112.15, 100.44, 112.43 degrees
Positions (direct):
Tm 0.0491 0.1693 0.7412
Tm 0.9509 0.8307 0.2588
Tm 0.1921 0.5719 0.7412
Tm 0.3604 0.8960 0.6069
Tm 0.8079 0.4281 0.2588
Tm 0.6396 0.1040 0.3931
Tm 0.2535 0.2891 0.3931
Tm 0.7465 0.7109 0.6069
Sm 0.2516 0.0016 0.0032
Sm 0.7484 0.9984 0.9968
Ho 0.3372 0.5872 0.1744
Ho 0.6628 0.4128 0.8256

Output
- crystal system = monoclinic
- ΔE_f (eV per formula unit) = 0.96
- mass density (g/cm3) = 8.68
- total magnetization (μB/cell) = 0.00
- total DFT energy (no corrections) (Ry/atom) = -0.3212



13.
DFT (PBE) results for an optimized crystal structure of Sm3Ho7Tm2.

Cell lengths 6.4594, 6.4594, 11.8144 Å; angles 74.14, 74.14, 60.00 degrees
Positions (direct):
Ho 0.5844 0.0825 0.7487
Ho 0.0825 0.5844 0.7487
Ho 0.4156 0.9175 0.2513
Ho 0.5000 0.5000 0.5000
Ho 0.4156 0.4156 0.2513
Ho 0.9175 0.4156 0.2513
Ho 0.5844 0.5844 0.7487
Sm 0.8446 0.8446 0.4661
Sm 0.0000 0.0000 0.0000
Sm 0.1554 0.1554 0.5339
Tm 0.6668 0.6668 0.9997
Tm 0.3332 0.3332 0.0003

Output
- crystal system = trigonal
- ΔE_f (eV per formula unit) = 3.56
- mass density (g/cm3) = 7.97
- total magnetization (μB/cell) = 0.00
- total DFT energy (no corrections) (Ry/atom) = -0.3159



14.
DFT (PBE) results for an optimized crystal structure of Sm3Ho4Tm8.

Cell lengths 11.4472, 9.2062, 9.2062 Å; angles 88.12, 128.39, 128.39 degrees
Positions (direct):
Ho 0.0000 0.0000 0.0000
Ho 0.0000 0.0000 0.5000
Ho 0.0000 0.5000 0.0000
Ho 0.5000 0.0000 0.0000
Tm 0.5320 0.2642 0.2642
Tm 0.9900 0.2552 0.2552
Tm 0.0100 0.7448 0.7448
Tm 0.0000 0.3632 0.6368
Tm 0.5000 0.7537 0.2463
Tm 0.5000 0.2463 0.7537
Tm 0.4680 0.7358 0.7358
Tm 0.0000 0.6368 0.3632
Sm 0.5000 0.5000 0.0000
Sm 0.5000 0.5000 0.5000
Sm 0.5000 0.0000 0.5000

Output
- crystal system = monoclinic
- ΔE_f (eV per formula unit) = 6.06
- mass density (g/cm3) = 8.38
- total magnetization (μB/cell) = 0.02
- total DFT energy (no corrections) (Ry/atom) = -0.3047



15.
DFT (PBE) results for an optimized crystal structure of Sm4Ho2Tm5.

Cell lengths 3.4507, 8.7593, 11.9337 Å; angles 83.12, 98.31, 90.00 degrees
Positions (direct):
Sm 0.5987 0.2366 0.1975
Sm 0.3138 0.4756 0.6275
Sm 0.6862 0.5244 0.3725
Sm 0.4013 0.7634 0.8025
Tm 0.8665 0.1191 0.7330
Tm 0.7690 0.8273 0.5380
Tm 0.5000 0.0000 0.0000
Tm 0.1335 0.8809 0.2670
Tm 0.2310 0.1727 0.4620
Ho 0.4527 0.3667 0.9054
Ho 0.5473 0.6333 0.0946

Output
- crystal system = monoclinic
- ΔE_f (eV per formula unit) = 1.85
- mass density (g/cm3) = 8.32
- total magnetization (μB/cell) = 0.00
- total DFT energy (no corrections) (Ry/atom) = -0.3243



16.
DFT (PBE) results for an optimized crystal structure of Sm12HoTm6.

Cell lengths 8.5773, 8.5773, 8.5773 Å; angles 88.78, 88.78, 88.78 degrees
Positions (direct):
Tm 0.7414 0.9012 0.2989
Tm 0.0988 0.7011 0.2586
Tm 0.2586 0.0988 0.7011
Tm 0.7011 0.2586 0.0988
Tm 0.2989 0.7414 0.9012
Tm 0.9012 0.2989 0.7414
Sm 0.6379 0.9841 0.8041
Sm 0.7802 0.5379 0.4336
Sm 0.5664 0.2198 0.4621
Sm 0.5379 0.4336 0.7802
Sm 0.1959 0.3621 0.0159
Sm 0.4621 0.5664 0.2198
Sm 0.0159 0.1959 0.3621
Sm 0.2198 0.4621 0.5664
Sm 0.3621 0.0159 0.1959
Sm 0.9841 0.8041 0.6379
Sm 0.8041 0.6379 0.9841
Sm 0.4336 0.7802 0.5379
Ho 0.0000 0.0000 0.0000

Output
- crystal system = trigonal
- ΔE_f (eV per formula unit) = 2.69
- mass density (g/cm3) = 7.85
- total magnetization (μB/cell) = 0.00
- total DFT energy (no corrections) (Ry/atom) = -0.3302



17.
DFT (PBE) results for an optimized crystal structure of SmHo12Tm7.

Cell lengths 8.6082, 8.6082, 8.6082 Å; angles 95.15, 95.15, 95.15 degrees
Positions (direct):
Ho 0.3181 0.1894 0.7499
Ho 0.1894 0.7499 0.3181
Ho 0.5251 0.8539 0.5867
Ho 0.4749 0.1461 0.4133
Ho 0.8106 0.2501 0.6819
Ho 0.8539 0.5867 0.5251
Ho 0.4133 0.4749 0.1461
Ho 0.7499 0.3181 0.1894
Ho 0.5867 0.5251 0.8539
Ho 0.1461 0.4133 0.4749
Ho 0.6819 0.8106 0.2501
Ho 0.2501 0.6819 0.8106
Tm 0.3503 0.0160 0.0802
Tm 0.0802 0.3503 0.0160
Tm 0.6497 0.9840 0.9198
Tm 0.9840 0.9198 0.6497
Tm 0.5000 0.5000 0.5000
Tm 0.0160 0.0802 0.3503
Tm 0.9198 0.6497 0.9840
Sm 0.0000 0.0000 0.0000

Output
- crystal system = trigonal
- ΔE_f (eV per formula unit) = 6.24
- mass density (g/cm3) = 8.73
- total magnetization (μB/cell) = 0.00
- total DFT energy (no corrections) (Ry/atom) = -0.3113



18.
DFT (PBE) results for an optimized crystal structure of Sm2Ho2Tm5.

Cell lengths 3.5660, 9.3951, 11.2749 Å; angles 130.98, 80.98, 100.89 degrees
Positions (direct):
Tm 0.9244 0.5174 0.6679
Tm 0.0756 0.4826 0.3321
Tm 0.2590 0.1860 0.6667
Tm 0.0000 0.0000 0.0000
Tm 0.7410 0.8140 0.3333
Sm 0.4081 0.1490 0.3343
Sm 0.5919 0.8510 0.6657
Ho 0.3335 0.6665 0.0000
Ho 0.6665 0.3335 0.0000

Output
- crystal system = triclinic
- ΔE_f (eV per formula unit) = 0.04
- mass density (g/cm3) = 8.76
- total magnetization (μB/cell) = 0.00
- total DFT energy (no corrections) (Ry/atom) = -0.3341



19.
DFT (PBE) results for an optimized crystal structure of Sm8HoTm4.

Cell lengths 7.2267, 7.2267, 10.3383 Å; angles 90.00, 110.46, 120.00 degrees
Positions (direct):
Tm 0.5000 0.0000 0.0000
Tm 0.0000 0.5000 0.0000
Tm 0.0000 0.0000 0.0000
Tm 0.5000 0.5000 0.0000
Ho 0.0000 0.5000 0.5000
Sm 0.0431 0.7943 0.2920
Sm 0.0431 0.2488 0.2920
Sm 0.5023 0.7512 0.7080
Sm 0.4265 0.2132 0.6397
Sm 0.9569 0.2057 0.7080
Sm 0.4977 0.2488 0.2920
Sm 0.9569 0.7512 0.7080
Sm 0.5735 0.7868 0.3603

Output
- crystal system = trigonal
- ΔE_f (eV per formula unit) = 2.67
- mass density (g/cm3) = 7.93
- total magnetization (μB/cell) = 0.00
- total DFT energy (no corrections) (Ry/atom) = -0.3254